# 1
Density functional theory data (PBE-GGA) for an optimized crystal structure of Dy4Te5H2.

Summary:
Crystal system: monoclinic
Final energy in eV/f.u.: -53.6
Space group: C2/m (12)
Calculated volume in Å³/atom: 33.312

Cell: 4.203 8.492 10.790 Å, 103.79 101.23 90.00°
Element x y z (fractional)
Dy1 0.330 0.470 0.661
Dy2 0.670 0.530 0.339
Te1 0.811 0.721 0.623
H1 0.424 0.647 0.849
Te2 0.094 0.659 0.187
Te3 0.189 0.279 0.377
Te4 0.500 0.000 0.000
Dy3 0.042 0.270 0.083
Te5 0.906 0.341 0.813
Dy4 0.958 0.730 0.917
H2 0.576 0.353 0.151


# 2
Density functional theory data (PBE-GGA) for an optimized crystal structure of Dy3Te2H2.

Summary:
Crystal system: monoclinic
Final energy in eV/f.u.: -33.6
Space group: C2/m (12)
Calculated volume in Å³/atom: 21.399

Cell: 4.032 4.475 8.832 Å, 104.68 103.24 89.99°
Element x y z (fractional)
Dy1 0.000 0.000 0.000
Te1 0.820 0.821 0.642
H1 0.500 0.750 0.000
Te2 0.180 0.179 0.358
Dy2 0.621 0.620 0.240
H2 0.500 0.250 0.000
Dy3 0.379 0.380 0.760


# 3
Density functional theory data (PBE-GGA) for an optimized crystal structure of Dy3TeH3.

Summary:
Crystal system: cubic
Final energy in eV/f.u.: -31.2
Space group: Pm-3n (223)
Calculated volume in Å³/atom: 17.089

Cell: 6.208 6.208 6.208 Å, 90.00 90.00 90.00°
Element x y z (fractional)
Dy1 0.750 0.500 0.000
H1 0.000 0.500 0.750
H2 0.500 0.250 0.000
Dy2 0.500 0.000 0.750
H3 0.500 0.750 0.000
Dy3 0.250 0.500 0.000
Dy4 0.000 0.250 0.500
Te1 0.500 0.500 0.500
Te2 0.000 0.000 0.000
Dy5 0.000 0.750 0.500
H4 0.750 0.000 0.500
H5 0.000 0.500 0.250
H6 0.250 0.000 0.500
Dy6 0.500 0.000 0.250


# 4
Density functional theory data (PBE-GGA) for an optimized crystal structure of Dy2Te3H.

Summary:
Crystal system: orthorhombic
Final energy in eV/f.u.: -28.4
Space group: Pnma (62)
Calculated volume in Å³/atom: 25.003

Cell: 4.046 12.771 11.614 Å, 90.00 90.00 90.00°
Element x y z (fractional)
Dy1 0.750 0.979 0.702
Dy2 0.250 0.479 0.798
H1 0.750 0.624 0.362
Dy3 0.250 0.675 0.440
Te1 0.750 0.302 0.824
Te2 0.750 0.198 0.324
Dy4 0.250 0.825 0.940
Dy5 0.250 0.021 0.298
Te3 0.250 0.375 0.068
H2 0.250 0.124 0.138
H3 0.250 0.376 0.638
Dy6 0.750 0.521 0.202
Te4 0.250 0.698 0.176
Te5 0.250 0.802 0.676
Te6 0.750 0.625 0.932
Te7 0.250 0.436 0.386
H4 0.750 0.876 0.862
Te8 0.250 0.125 0.568
Dy7 0.750 0.175 0.060
Te9 0.750 0.564 0.614
Te10 0.250 0.064 0.886
Te11 0.750 0.936 0.114
Dy8 0.750 0.325 0.560
Te12 0.750 0.875 0.432


# 5
Density functional theory data (PBE-GGA) for an optimized crystal structure of Dy4Te5H.

Summary:
Crystal system: monoclinic
Final energy in eV/f.u.: -48.0
Space group: C2/m (12)
Calculated volume in Å³/atom: 38.066

Cell: 4.379 11.703 8.098 Å, 107.02 105.69 90.00°
Element x y z (fractional)
Te1 0.827 0.735 0.653
H1 0.500 0.000 0.000
Dy1 0.358 0.925 0.716
Te2 0.500 0.500 0.000
Dy2 0.642 0.075 0.284
Te3 0.173 0.265 0.347
Dy3 0.993 0.671 0.985
Te4 0.148 0.889 0.296
Dy4 0.007 0.329 0.015
Te5 0.852 0.111 0.704


# 6
Density functional theory data (PBE-GGA) for an optimized crystal structure of Dy6Te3H.

Summary:
Crystal system: orthorhombic
Final energy in eV/f.u.: -47.8
Space group: Cmc2_1 (36)
Calculated volume in Å³/atom: 27.832

Cell: 6.612 9.233 9.233 Å, 99.10 90.00 90.00°
Element x y z (fractional)
Dy1 0.194 0.093 0.551
Dy2 0.111 0.067 0.933
Dy3 0.725 0.238 0.762
Te1 0.489 0.250 0.060
Dy4 0.674 0.622 0.721
Dy5 0.694 0.907 0.449
Dy6 0.611 0.933 0.067
Te2 0.361 0.403 0.597
H1 0.075 0.222 0.778
Dy7 0.174 0.378 0.279
Dy8 0.194 0.449 0.907
Dy9 0.674 0.279 0.378
H2 0.575 0.778 0.222
Te3 0.489 0.940 0.750
Dy10 0.174 0.721 0.622
Te4 0.989 0.750 0.940
Te5 0.989 0.060 0.250
Dy11 0.225 0.762 0.238
Te6 0.861 0.597 0.403
Dy12 0.694 0.551 0.093


# 7
Density functional theory data (PBE-GGA) for an optimized crystal structure of Dy2Te3H.

Summary:
Crystal system: monoclinic
Final energy in eV/f.u.: -27.3
Space group: C2/m (12)
Calculated volume in Å³/atom: 30.389

Cell: 4.657 8.339 10.609 Å, 68.39 77.32 73.78°
Element x y z (fractional)
Te1 0.778 0.824 0.620
H1 0.555 0.511 0.379
Dy1 0.146 0.540 0.168
Te2 0.222 0.176 0.380
Te3 0.940 0.867 0.253
Te4 0.359 0.279 0.003
Dy2 0.404 0.742 0.450
Te5 0.060 0.133 0.747
H2 0.445 0.489 0.621
Dy3 0.596 0.258 0.550
Te6 0.641 0.721 0.997
Dy4 0.854 0.460 0.832


# 8
Density functional theory data (PBE-GGA) for an optimized crystal structure of Dy4Te3H.

Summary:
Crystal system: orthorhombic
Final energy in eV/f.u.: -38.3
Space group: Pmn2_1 (31)
Calculated volume in Å³/atom: 29.428

Cell: 6.081 8.166 9.481 Å, 90.00 90.00 90.00°
Element x y z (fractional)
Dy1 0.085 0.260 0.191
H1 0.936 0.132 0.000
Dy2 0.085 0.260 0.809
Dy3 0.082 0.872 0.000
Dy4 0.585 0.740 0.691
Te1 0.585 0.759 0.000
Dy5 0.573 0.123 0.000
Dy6 0.582 0.128 0.500
Te2 0.085 0.640 0.260
H2 0.436 0.868 0.500
Te3 0.085 0.640 0.740
Dy7 0.585 0.740 0.309
Dy8 0.073 0.877 0.500
Te4 0.085 0.241 0.500
Te5 0.585 0.360 0.240
Te6 0.585 0.360 0.760


# 9
Density functional theory data (PBE-GGA) for an optimized crystal structure of Dy5Te2H.

Summary:
Crystal system: orthorhombic
Final energy in eV/f.u.: -36.7
Space group: Cmcm (63)
Calculated volume in Å³/atom: 28.888

Cell: 3.771 7.345 17.268 Å, 90.00 90.00 104.87°
Element x y z (fractional)
Dy1 0.365 0.730 0.012
H1 0.317 0.635 0.250
Te1 0.007 0.014 0.398
Dy2 0.635 0.270 0.512
Dy3 0.205 0.411 0.158
Te2 0.993 0.986 0.898
Dy4 0.205 0.411 0.342
Dy5 0.890 0.779 0.250
Dy6 0.635 0.270 0.988
Dy7 0.110 0.221 0.750
Dy8 0.365 0.730 0.488
H2 0.683 0.365 0.750
Te3 0.007 0.014 0.102
Dy9 0.795 0.589 0.842
Dy10 0.795 0.589 0.658
Te4 0.993 0.986 0.602


# 10
Density functional theory data (PBE-GGA) for an optimized crystal structure of Dy2Te2H.

Summary:
Crystal system: orthorhombic
Final energy in eV/f.u.: -23.9
Space group: Cmc2_1 (36)
Calculated volume in Å³/atom: 24.534

Cell: 3.936 5.784 11.460 Å, 90.00 90.00 109.89°
Element x y z (fractional)
H1 0.363 0.726 0.497
Te1 0.667 0.333 0.343
Dy1 0.775 0.551 0.636
Te2 0.063 0.127 0.624
H2 0.637 0.274 0.997
Dy2 0.055 0.109 0.885
Dy3 0.945 0.891 0.385
Te3 0.333 0.667 0.843
Dy4 0.225 0.449 0.136
Te4 0.937 0.873 0.124


# 11
Density functional theory data (PBE-GGA) for an optimized crystal structure of Dy3ThH.

Summary:
Crystal system: cubic
Final energy in eV/f.u.: -25.3
Space group: Pm-3m (221)
Calculated volume in Å³/atom: 24.904

Cell: 4.994 4.994 4.994 Å, 90.00 90.00 90.00°
Element x y z (fractional)
H1 0.000 0.000 0.000
Dy1 0.000 0.000 0.500
Th1 0.500 0.500 0.500
Dy2 0.500 0.000 0.000
Dy3 0.000 0.500 0.000


# 12
Density functional theory data (PBE-GGA) for an optimized crystal structure of DyThH2.

Summary:
Crystal system: trigonal
Final energy in eV/f.u.: -19.6
Space group: R3m (160)
Calculated volume in Å³/atom: 16.173

Cell: 3.487 3.487 6.464 Å, 74.35 74.35 60.00°
Element x y z (fractional)
H1 0.263 0.263 0.211
H2 0.073 0.073 0.781
Dy1 0.670 0.670 0.991
Th1 0.494 0.494 0.517